# Sm2TmGa2 | Alexandria via LeMat-Bulk | PBE | optimized geometry
data_Sm2TmGa2
_chemical_formula_sum 'Sm4 Tm2 Ga4'
_cell_length_a 7.668
_cell_length_b 7.668
_cell_length_c 4.450
_cell_angle_alpha 90.00
_cell_angle_beta 90.00
_cell_angle_gamma 90.00
_space_group_name_H-M_alt 'P 4/m b m'
_space_group_IT_number 127
_space_group_name_Hall '-P 4 2ab'
loop_
_atom_site_label
_atom_site_type_symbol
_atom_site_fract_x
_atom_site_fract_y
_atom_site_fract_z
Sm1 Sm 0.174 0.326 0.000
Tm1 Tm 0.000 0.000 0.500
Ga1 Ga 0.120 0.620 0.500
# - ΔE to the lowest computed polymorph (meV per atom) = 0
# - formation energy (eV per atom) = -0.52